1.
VASP calculation (GGA-PBEsol) on an optimized crystal structure of GaCo3H.

a b c (Å): 3.5700 3.5700 3.5700
angles (deg): 90.00 90.00 90.00
Each line ends with the local moment (μB).
Element x y z (fractional)
H 0.0000 0.0000 0.0000  -0.01
Co 0.5000 0.0000 0.0000  1.03
Co 0.0000 0.0000 0.5000  1.03
Ga 0.5000 0.5000 0.5000  -0.06
Co 0.0000 0.5000 0.0000  1.03

magnetization	3.00	μB/f.u.

---

2.
VASP calculation (GGA-PBEsol) on an optimized crystal structure of La2ZnSbOs.

a b c (Å): 4.6148 5.8593 5.8593
angles (deg): 90.00 90.00 90.00
Each line ends with the local moment (μB).
Element x y z (fractional)
Os 0.5000 0.5000 0.5000  0.77
La 0.0000 0.0000 0.5000  -0.08
Sb 0.0000 0.0000 0.0000  0.00
La 0.0000 0.5000 0.0000  -0.08
Zn 0.5000 0.0000 0.0000  -0.01

formation energy without anion corrections	1.006	eV per atom
magnetization	0.37	μB/f.u.

---

3.
VASP calculation (GGA-PBEsol) on an optimized crystal structure of CoCuOs2.

a b c (Å): 2.5963 4.6387 5.0290
angles (deg): 116.60 103.54 92.99
Each line ends with the local moment (μB).
Element x y z (fractional)
Os 0.5000 0.5000 0.5000  0.18
Co 0.5000 0.0000 0.0000  1.44
Cu 0.0000 0.5000 0.0000  0.03
Os 0.0000 0.0000 0.5000  0.18

energy of formation from the pure elements	0.533	eV/atom
energy relative to the lowest polymorph listed for this composition	163.5	meV/atom
magnetization	1.83	μB/f.u.

---

4.
VASP calculation (GGA-PBEsol) on an optimized crystal structure of LaMgTl2Cd.

a b c (Å): 5.9294 5.9829 5.9829
angles (deg): 90.00 90.00 90.00
Element x y z (fractional)
Cd 0.5000 0.0000 0.0000
La 0.0000 0.0000 0.0000
Tl 0.0000 0.5000 0.0000
Mg 0.5000 0.5000 0.5000
Tl 0.0000 0.0000 0.5000

energy of formation from the pure elements	0.761	eV/atom
magnetization	0.00	μB/f.u.

---

5.
VASP calculation (GGA-PBEsol) on an optimized crystal structure of VMoAs2.

a b c (Å): 3.3199 5.8475 6.3078
angles (deg): 90.00 90.00 90.00
Element x y z (fractional)
Mo 0.5000 0.5089 0.0655
V 0.0000 0.4900 0.4334
V 0.0000 0.9900 0.5666
As 0.0000 0.3112 0.8105
As 0.5000 0.1899 0.3282
As 0.0000 0.8112 0.1895
As 0.5000 0.6899 0.6718
Mo 0.5000 0.0089 0.9345

energy of formation from the pure elements	-0.434	eV/atom
magnetization	0.00	μB/f.u.

---

6.
VASP calculation (GGA-PBEsol) on an optimized crystal structure of KTcIr3.

a b c (Å): 4.7230 4.7230 4.7230
angles (deg): 90.00 90.00 90.00
Element x y z (fractional)
K 0.5000 0.5000 0.5000
Ir 0.5000 0.0000 0.0000
Tc 0.0000 0.0000 0.0000
Ir 0.0000 0.0000 0.5000
Ir 0.0000 0.5000 0.0000

energy of formation from the pure elements	1.476	eV/atom
magnetization	0.00	μB/f.u.

---

Asked for final energy across the records above, the calculation gives -0.450; -0.353; -0.632; -0.143; -0.613; -0.507 Ry/atom in order.